1.
Below is a geometry-optimized BaCa3Mo structure, with properties calculated at the GGA-PBE level.

It has space group Pm-3m (No. 221), with a = 5.8302 Å, b = 5.8302 Å, c = 5.8302 Å, α = 90.00°, β = 90.00° and γ = 90.00°. The asymmetric unit holds Ba at (0.0000, 0.0000, 0.0000), Ca at (0.0000, 0.5000, 0.5000) and Mo at (0.5000, 0.5000, 0.5000).

The density of states at the Fermi level comes out at 0.784 states/eV per atom. The magnetization is 1.86 Bohr magnetons per cell. The energy relative to the lowest polymorph listed for this composition is 0 meV per atom. The energy relative to the elements is 0.560 eV per atom.

---

2.
Below is a geometry-optimized BaCa2Mo structure, with properties calculated at the GGA-PBE level.

It has space group Fm-3m (No. 225), with a = 8.1406 Å, b = 8.1406 Å, c = 8.1406 Å, α = 90.00°, β = 90.00° and γ = 90.00°. The asymmetric unit holds Ba at (0.0000, 0.0000, 0.0000), Ca at (0.2500, 0.2500, 0.2500) and Mo at (0.0000, 0.0000, 0.5000).

The density of states at the Fermi level comes out at 1.403 states/eV per atom. The magnetization is 10.81 Bohr magnetons per cell. The energy relative to the lowest polymorph listed for this composition is 133 meV per atom. The energy relative to the elements is 0.794 eV per atom.

---

3.
Below is a geometry-optimized Ba2CaMo structure, with properties calculated at the GGA-PBE level.

It has space group P4/mmm (No. 123), with a = 3.9986 Å, b = 3.9986 Å, c = 10.2244 Å, α = 90.00°, β = 90.00° and γ = 90.00°. The asymmetric unit holds Ba at (0.0000, 0.0000, 0.1956), Ca at (0.5000, 0.5000, 0.5000) and Mo at (0.5000, 0.5000, 0.0000).

The density of states at the Fermi level comes out at 1.096 states/eV per atom. The magnetization is 2.54 Bohr magnetons per cell. The energy relative to the lowest polymorph listed for this composition is 40 meV per atom. The energy relative to the elements is 0.782 eV per atom.

---

4.
Below is a geometry-optimized BaCaMo2 structure, with properties calculated at the GGA-PBE level.

It has space group I-42d (No. 122), with a = 8.5752 Å, b = 8.5752 Å, c = 5.7357 Å, α = 90.00°, β = 90.00° and γ = 90.00°. The asymmetric unit holds Ba at (0.0000, 0.0000, 0.0000), Ca at (0.0000, 0.0000, 0.5000) and Mo at (0.2421, 0.2500, 0.6250).

The density of states at the Fermi level comes out at 1.310 states/eV per atom. The magnetization is 13.49 Bohr magnetons per cell. The energy relative to the lowest polymorph listed for this composition is 1172 meV per atom. The energy relative to the elements is 1.694 eV per atom.

---

5.
Below is a geometry-optimized BaCa2Mo structure, with properties calculated at the GGA-PBE level.

It has space group C2/m (No. 12), with a = 6.9792 Å, b = 11.6816 Å, c = 3.6569 Å, α = 90.00°, β = 112.23° and γ = 90.00°. The asymmetric unit holds Ba at (0.0000, 0.0000, 0.0000), Ca at (0.2500, 0.2500, 0.5000) and Mo at (0.0000, 0.5000, 0.0000).

The density of states at the Fermi level comes out at 0.893 states/eV per atom. The magnetization is 6.45 Bohr magnetons per cell. The energy relative to the lowest polymorph listed for this composition is 243 meV per atom. The energy relative to the elements is 0.905 eV per atom.

---

6.
Below is a geometry-optimized Ba2CaMo structure, with properties calculated at the GGA-PBE level.

It has space group Immm (No. 71), with a = 3.8960 Å, b = 5.9831 Å, c = 13.5225 Å, α = 90.00°, β = 90.00° and γ = 90.00°. The asymmetric unit holds Ba at (0.0000, 0.0000, 0.1889), Ca at (0.0000, 0.5000, 0.0000) and Mo at (0.0000, 0.5000, 0.5000).

The density of states at the Fermi level comes out at 1.062 states/eV per atom. The magnetization is 4.42 Bohr magnetons per cell. The energy relative to the lowest polymorph listed for this composition is 79 meV per atom. The energy relative to the elements is 0.821 eV per atom.

---

7.
Below is a geometry-optimized BaCa2Mo structure, with properties calculated at the GGA-PBE level.

It has space group Cm (No. 8), with a = 13.7471 Å, b = 3.8423 Å, c = 5.9625 Å, α = 90.00°, β = 115.68° and γ = 90.00°. The asymmetric unit holds Ba at (0.0000, 0.0000, 0.0000), Ca at (0.1005, 0.5000, 0.6004), Ca at (0.2993, 0.5000, 0.2998) and Mo at (0.2903, 0.0000, 0.7912).

The density of states at the Fermi level comes out at 0.912 states/eV per atom. The magnetization is 5.02 Bohr magnetons per cell. The energy relative to the lowest polymorph listed for this composition is 95 meV per atom. The energy relative to the elements is 0.757 eV per atom.

---

8.
Below is a geometry-optimized BaCaMo2 structure, with properties calculated at the GGA-PBE level.

It has space group P4/mmm (No. 123), with a = 4.0988 Å, b = 4.0988 Å, c = 7.0722 Å, α = 90.00°, β = 90.00° and γ = 90.00°. The asymmetric unit holds Ba at (0.0000, 0.0000, 0.0000), Ca at (0.0000, 0.0000, 0.5000) and Mo at (0.5000, 0.5000, 0.3469).

The density of states at the Fermi level comes out at 1.618 states/eV per atom. The magnetization is 0.32 Bohr magnetons per cell. The energy relative to the lowest polymorph listed for this composition is 472 meV per atom. The energy relative to the elements is 0.994 eV per atom.